The following is a DFT calculation (PBE-GGA) of crystalline Cs3Te5O12 at its relaxed geometry.

Lattice parameters (Å, degrees): 12.626 12.626 12.626 109.47 109.47 109.47
Fractional positions:
O (0.599, 0.989, 0.174)
Te (0.875, 0.250, 0.625)
Te (0.125, 0.375, 0.250)
Te (0.750, 0.125, 0.875)
Cs (0.875, 0.125, 0.250)
O (0.685, 0.174, 0.575)
O (0.890, 0.815, 0.489)
O (0.989, 0.599, 0.674)
O (0.011, 0.401, 0.326)
O (0.674, 0.575, 0.185)
O (0.185, 0.075, 0.674)
O (0.489, 0.315, 0.890)
Te (0.750, 0.625, 0.375)
Te (0.625, 0.750, 0.875)
Cs (0.875, 0.750, 0.125)
Te (0.000, 0.000, 0.000)
O (0.326, 0.901, 0.011)
Te (0.375, 0.125, 0.750)
Cs (0.375, 0.750, 0.625)
O (0.110, 0.925, 0.099)
O (0.599, 0.610, 0.925)
O (0.826, 0.315, 0.925)
O (0.610, 0.599, 0.425)
Te (0.875, 0.625, 0.750)
O (0.326, 0.425, 0.815)
O (0.925, 0.815, 0.826)
Te (0.500, 0.000, 0.000)
Te (0.000, 0.500, 0.500)
O (0.901, 0.326, 0.511)
Te (0.500, 0.000, 0.500)
Te (0.375, 0.250, 0.125)
Cs (0.125, 0.875, 0.750)
O (0.075, 0.890, 0.401)
O (0.925, 0.110, 0.599)
O (0.315, 0.826, 0.425)
O (0.489, 0.174, 0.099)
O (0.610, 0.011, 0.685)
O (0.674, 0.099, 0.989)
Te (0.000, 0.000, 0.500)
Te (0.000, 0.500, 0.000)
O (0.815, 0.890, 0.989)
Te (0.125, 0.750, 0.375)
O (0.099, 0.425, 0.110)
O (0.425, 0.326, 0.315)
O (0.401, 0.011, 0.826)
O (0.174, 0.685, 0.075)
O (0.815, 0.925, 0.326)
Te (0.500, 0.500, 0.500)
Cs (0.750, 0.375, 0.125)
Te (0.250, 0.375, 0.625)
O (0.075, 0.185, 0.174)
Cs (0.625, 0.250, 0.375)
Cs (0.125, 0.250, 0.875)
O (0.401, 0.390, 0.075)
O (0.425, 0.099, 0.610)
O (0.110, 0.185, 0.511)
O (0.890, 0.075, 0.901)
O (0.575, 0.674, 0.685)
O (0.174, 0.489, 0.599)
Cs (0.625, 0.375, 0.750)
O (0.185, 0.110, 0.011)
O (0.315, 0.489, 0.390)
O (0.511, 0.685, 0.110)
Cs (0.250, 0.625, 0.875)
O (0.390, 0.989, 0.315)
Te (0.250, 0.875, 0.125)
O (0.989, 0.390, 0.815)
Te (0.500, 0.500, 0.000)
Cs (0.250, 0.125, 0.375)
O (0.099, 0.674, 0.489)
O (0.511, 0.826, 0.901)
O (0.390, 0.401, 0.575)
O (0.826, 0.511, 0.401)
O (0.901, 0.575, 0.890)
O (0.011, 0.610, 0.185)
Te (0.625, 0.875, 0.250)
O (0.685, 0.511, 0.610)
O (0.575, 0.901, 0.390)
Cs (0.375, 0.625, 0.250)
Cs (0.750, 0.875, 0.625)

Properties
Fermi-level density of states = 0.0918 states/eV/atom
energy relative to the elements, uncorrected = -1001 meV/atom
ρ = 5.268 g cm⁻³

***

The following is a DFT calculation (PBE-GGA) of crystalline Ac3GaAs2Pt9 at its relaxed geometry.

Lattice parameters (Å, degrees): 6.601 6.601 9.083 90.00 90.00 120.00
Fractional positions:
Ac (0.000, 0.000, 0.000)
As (0.333, 0.667, 0.186)
Pt (0.000, 0.500, 0.000)
Pt (0.141, 0.283, 0.289)
Pt (0.500, 0.000, 0.000)
Ac (0.333, 0.667, 0.693)
Ga (0.000, 0.000, 0.500)
Pt (0.283, 0.141, 0.711)
Pt (0.859, 0.141, 0.711)
Pt (0.141, 0.859, 0.289)
Pt (0.717, 0.859, 0.289)
As (0.667, 0.333, 0.814)
Pt (0.500, 0.500, 0.000)
Ac (0.667, 0.333, 0.307)
Pt (0.859, 0.717, 0.711)

Properties
ΔH_f (0 K) = -691 meV per atom
Fermi-level density of states = 0.4185 states/eV/atom
ρ = 12.868 g cm⁻³

***

The following is a DFT calculation (PBE-GGA) of crystalline Rb2VSeI6 at its relaxed geometry.

Lattice parameters (Å, degrees): 8.743 8.743 8.373 58.53 58.53 90.00
Fractional positions:
I (0.277, 0.277, 0.000)
V (0.500, 0.500, 0.000)
Rb (0.750, 0.250, 0.500)
I (0.277, 0.723, 0.000)
Se (0.000, 0.000, 0.000)
I (0.755, 0.755, 0.490)
Rb (0.250, 0.750, 0.500)
I (0.723, 0.723, 0.000)
I (0.245, 0.245, 0.510)
I (0.723, 0.277, 0.000)

Properties
Fermi-level density of states = 1.4633 states/eV/atom
energy relative to the elements, uncorrected = -589 meV/atom
ρ = 4.086 g cm⁻³

***

The following is a DFT calculation (PBE-GGA) of crystalline SrYSb2 at its relaxed geometry.

Lattice parameters (Å, degrees): 10.810 10.810 10.810 20.23 20.23 20.23
Fractional positions:
Sr (0.508, 0.508, 0.508)
Sb (0.996, 0.996, 0.996)
Sb (0.259, 0.259, 0.259)
Y (0.736, 0.736, 0.736)

Properties
excess energy over the best structure of this formula in the dataset = 3.514 eV/f.u.
Fermi-level density of states = 0.5667 states/eV/atom
energy relative to the elements, uncorrected = -83 meV/atom
ρ = 5.278 g cm⁻³

***

The following is a DFT calculation (PBE-GGA) of crystalline PmErZnAg at its relaxed geometry.

Lattice parameters (Å, degrees): 3.619 3.619 7.306 90.00 90.00 90.00
Fractional positions:
Pm (0.000, 0.000, 0.847)
Zn (0.500, 0.500, 0.592)
Er (0.000, 0.000, 0.363)
Ag (0.500, 0.500, 0.126)

Properties
excess energy over the best structure of this formula in the dataset = 0.000 eV/f.u.
ΔH_f (0 K) = -320 meV per atom
Fermi-level density of states = 0.9644 states/eV/atom
ρ = 8.424 g cm⁻³

***

The following is a DFT calculation (PBE-GGA) of crystalline Mn2CrRu5 at its relaxed geometry.

Lattice parameters (Å, degrees): 5.022 5.334 5.334 119.31 105.87 105.59
Fractional positions:
Mn (0.777, 0.319, 0.458)
Ru (0.277, 0.741, 0.034)
Ru (0.280, 0.235, 0.045)
Mn (0.282, 0.738, 0.544)
Cr (0.773, 0.817, 0.956)
Ru (0.779, 0.316, 0.964)
Ru (0.779, 0.816, 0.463)
Ru (0.277, 0.242, 0.535)

Properties
ΔH_f (0 K) = 10 meV per atom
Fermi-level density of states = 1.0440 states/eV/atom
ρ = 10.537 g cm⁻³

***

The following is a DFT calculation (PBE-GGA) of crystalline Li4Th3MgTe8 at its relaxed geometry.

Lattice parameters (Å, degrees): 8.665 8.731 8.666 119.75 120.00 90.00
Fractional positions:
Mg (0.000, 0.500, 0.000)
Te (0.235, 0.241, 0.988)
Th (0.000, 0.500, 0.500)
Te (0.247, 0.759, 0.012)
Te (0.753, 0.241, 0.988)
Te (0.758, 0.773, 0.515)
Th (0.500, 0.500, 0.000)
Li (0.500, 0.000, 0.500)
Te (0.753, 0.240, 0.506)
Li (0.000, 0.000, 0.000)
Li (0.500, 0.000, 0.000)
Te (0.242, 0.227, 0.485)
Te (0.247, 0.760, 0.494)
Li (0.000, 0.000, 0.500)
Te (0.765, 0.759, 0.012)
Th (0.500, 0.500, 0.500)

Properties
Fermi-level density of states = 0.4328 states/eV/atom
energy relative to the elements, uncorrected = -1047 meV/atom
ρ = 6.313 g cm⁻³

***

The following is a DFT calculation (PBE-GGA) of crystalline Pm5AlIn2 at its relaxed geometry.

Lattice parameters (Å, degrees): 4.936 4.936 10.062 104.20 104.20 90.00
Fractional positions:
Pm (0.130, 0.630, 0.260)
Pm (0.500, 0.500, 0.000)
In (0.751, 0.751, 0.501)
In (0.249, 0.249, 0.499)
Pm (0.370, 0.870, 0.740)
Al (0.000, 0.000, 0.000)
Pm (0.630, 0.130, 0.260)
Pm (0.870, 0.370, 0.740)

Properties
ΔH_f (0 K) = -297 meV per atom
Fermi-level density of states = 1.3266 states/eV/atom
ρ = 7.088 g cm⁻³

***

The following is a DFT calculation (PBE-GGA) of crystalline DyTePd5 at its relaxed geometry.

Lattice parameters (Å, degrees): 4.183 4.183 7.485 90.00 90.00 90.00
Fractional positions:
Pd (0.500, 0.000, 0.228)
Pd (0.000, 0.500, 0.772)
Te (0.500, 0.500, 0.000)
Pd (0.000, 0.500, 0.228)
Dy (0.000, 0.000, 0.500)
Pd (0.500, 0.500, 0.500)
Pd (0.500, 0.000, 0.772)

Properties
Fermi-level density of states = 0.4267 states/eV/atom
energy relative to the elements, uncorrected = -634 meV/atom
ρ = 10.427 g cm⁻³

***

The following is a DFT calculation (PBE-GGA) of crystalline LiReP3 at its relaxed geometry.

Lattice parameters (Å, degrees): 4.682 4.682 4.682 90.00 90.00 90.00
Fractional positions:
P (0.500, 0.000, 0.000)
Re (0.000, 0.000, 0.000)
P (0.000, 0.000, 0.500)
P (0.000, 0.500, 0.000)
Li (0.500, 0.500, 0.500)

Properties
excess energy over the best structure of this formula in the dataset = 0.000 eV/f.u.
ΔH_f (0 K) = 390 meV per atom
Fermi-level density of states = 0.7518 states/eV/atom
ρ = 4.628 g cm⁻³

***

The following is a DFT calculation (PBE-GGA) of crystalline BaWBr2 at its relaxed geometry.

Lattice parameters (Å, degrees): 4.582 4.584 6.283 90.00 90.00 90.00
Fractional positions:
Br (0.000, 0.000, 0.983)
Br (0.500, 0.500, 0.288)
Ba (0.500, 0.500, 0.780)
W (0.000, 0.000, 0.449)

Properties
excess energy over the best structure of this formula in the dataset = 0.915 eV/f.u.
Fermi-level density of states = 0.2735 states/eV/atom
energy relative to the elements, uncorrected = 278 meV/atom
ρ = 6.052 g cm⁻³

***

The following is a DFT calculation (PBE-GGA) of crystalline CrH2Se at its relaxed geometry.

Lattice parameters (Å, degrees): 3.688 3.688 6.728 74.10 74.10 90.00
Fractional positions:
H (0.875, 0.625, 0.750)
H (0.375, 0.625, 0.750)
H (0.375, 0.625, 0.250)
Se (0.750, 0.250, 0.500)
Cr (0.250, 0.750, 0.500)
Se (0.000, 0.000, 0.000)
H (0.375, 0.125, 0.250)
Cr (0.500, 0.500, 0.000)

Properties
excess energy over the best structure of this formula in the dataset = 1.123 eV/f.u.
Fermi-level density of states = 0.6336 states/eV/atom
ρ = 5.236 g cm⁻³

***

The following is a DFT calculation (PBE-GGA) of crystalline RbTaAs2 at its relaxed geometry.

Lattice parameters (Å, degrees): 4.975 4.975 4.975 60.00 60.00 60.00
Fractional positions:
As (0.250, 0.250, 0.250)
As (0.750, 0.750, 0.750)
Ta (0.500, 0.500, 0.500)
Rb (0.000, 0.000, 0.000)

Properties
excess energy over the best structure of this formula in the dataset = 3.714 eV/f.u.
ΔH_f (0 K) = 584 meV per atom
Fermi-level density of states = 1.4736 states/eV/atom
ρ = 7.939 g cm⁻³

***

The following is a DFT calculation (PBE-GGA) of crystalline SiPbW2 at its relaxed geometry.

Lattice parameters (Å, degrees): 5.316 5.316 5.316 142.80 128.84 64.94
Fractional positions:
W (0.989, 0.989, 0.000)
W (0.234, 0.734, 0.500)
Pb (0.502, 0.502, 0.000)
Si (0.775, 0.275, 0.500)

Properties
excess energy over the best structure of this formula in the dataset = 1.751 eV/f.u.
Fermi-level density of states = 0.5469 states/eV/atom
energy relative to the elements, uncorrected = 786 meV/atom
ρ = 14.339 g cm⁻³

***

The following is a DFT calculation (PBE-GGA) of crystalline Tl3CoGe at its relaxed geometry.

Lattice parameters (Å, degrees): 5.054 5.054 5.054 90.00 90.00 90.00
Fractional positions:
Ge (0.500, 0.500, 0.500)
Tl (0.000, 0.000, 0.500)
Tl (0.000, 0.500, 0.000)
Tl (0.500, 0.000, 0.000)
Co (0.000, 0.000, 0.000)

Properties
excess energy over the best structure of this formula in the dataset = 0.000 eV/f.u.
ΔH_f (0 K) = 472 meV per atom
Fermi-level density of states = 1.1459 states/eV/atom
ρ = 9.582 g cm⁻³

***

The following is a DFT calculation (PBE-GGA) of crystalline NpPRhN at its relaxed geometry.

Lattice parameters (Å, degrees): 3.880 3.880 8.071 90.00 90.00 90.00
Fractional positions:
Np (0.000, 0.500, 0.360)
P (0.500, 0.000, 0.167)
N (0.500, 0.500, 0.500)
N (0.000, 0.000, 0.500)
Rh (0.500, 0.500, 0.000)
P (0.000, 0.500, 0.833)
Rh (0.000, 0.000, 0.000)
Np (0.500, 0.000, 0.640)

Properties
Fermi-level density of states = 1.7424 states/eV/atom
energy relative to the elements, uncorrected = -1031 meV/atom
ρ = 10.519 g cm⁻³

***

The following is a DFT calculation (PBE-GGA) of crystalline La4Pr7Ho at its relaxed geometry.

Lattice parameters (Å, degrees): 7.463 6.460 11.917 79.53 51.19 90.04
Fractional positions:
La (0.832, 0.775, 0.668)
Ho (0.000, 0.000, 0.000)
La (0.168, 0.225, 0.332)
Pr (0.670, 0.221, 0.330)
Pr (0.753, 0.500, 0.000)
La (0.578, 0.278, 0.671)
Pr (0.080, 0.275, 0.673)
Pr (0.500, 0.000, 0.000)
Pr (0.330, 0.779, 0.670)
La (0.422, 0.722, 0.329)
Pr (0.920, 0.725, 0.327)
Pr (0.247, 0.500, 0.000)

Properties
excess energy over the best structure of this formula in the dataset = 0.000 eV/f.u.
ΔH_f (0 K) = 17 meV per atom
Fermi-level density of states = 1.4067 states/eV/atom
ρ = 6.512 g cm⁻³

***

The following is a DFT calculation (PBE-GGA) of crystalline Cs2PrIrO6 at its relaxed geometry.

Lattice parameters (Å, degrees): 6.045 6.706 6.706 120.00 90.00 90.00
Fractional positions:
Ir (0.000, 0.000, 0.000)
O (0.197, 0.868, 0.132)
O (0.803, 0.132, 0.264)
O (0.803, 0.736, 0.868)
Pr (0.500, 0.000, 0.000)
O (0.197, 0.868, 0.736)
O (0.197, 0.264, 0.132)
Cs (0.123, 0.333, 0.667)
Cs (0.877, 0.667, 0.333)
O (0.803, 0.132, 0.868)

Properties
Fermi-level density of states = 0.5313 states/eV/atom
energy relative to the elements, uncorrected = -1510 meV/atom
ρ = 4.901 g cm⁻³

***

The following is a DFT calculation (PBE-GGA) of crystalline TlSiSe2F at its relaxed geometry.

Lattice parameters (Å, degrees): 5.758 3.645 5.758 90.00 90.00 90.00
Fractional positions:
Tl (0.500, 0.500, 0.500)
Se (0.500, 0.000, 0.000)
Si (0.000, 0.500, 0.000)
Se (0.000, 0.000, 0.500)
F (0.000, 0.000, 0.000)

Properties
excess energy over the best structure of this formula in the dataset = 0.000 eV/f.u.
Fermi-level density of states = 1.1104 states/eV/atom
energy relative to the elements, uncorrected = 49 meV/atom
ρ = 5.625 g cm⁻³

***

The following is a DFT calculation (PBE-GGA) of crystalline LiTcMoRh2 at its relaxed geometry.

Lattice parameters (Å, degrees): 4.746 4.656 4.746 90.00 90.00 90.00
Fractional positions:
Mo (0.000, 0.000, 0.000)
Rh (0.000, 0.000, 0.500)
Li (0.500, 0.500, 0.500)
Rh (0.500, 0.000, 0.000)
Tc (0.000, 0.500, 0.000)

Properties
ΔH_f (0 K) = 1091 meV per atom
Fermi-level density of states = 0.7779 states/eV/atom
ρ = 6.441 g cm⁻³

***

The following is a DFT calculation (PBE-GGA) of crystalline CeTl2GaI6 at its relaxed geometry.

Lattice parameters (Å, degrees): 8.191 8.944 11.982 90.00 86.99 90.00
Fractional positions:
Ce (0.000, 0.500, 0.000)
Tl (0.958, 0.101, 0.735)
Ce (0.500, 0.000, 0.500)
I (0.830, 0.801, 0.931)
I (0.170, 0.199, 0.069)
I (0.315, 0.681, 0.057)
I (0.140, 0.459, 0.752)
Ga (0.000, 0.500, 0.500)
I (0.360, 0.959, 0.748)
Tl (0.458, 0.399, 0.235)
I (0.185, 0.181, 0.443)
I (0.640, 0.041, 0.252)
I (0.330, 0.699, 0.431)
Tl (0.042, 0.899, 0.265)
I (0.685, 0.319, 0.943)
I (0.670, 0.301, 0.569)
Ga (0.500, 0.000, 0.000)
I (0.860, 0.541, 0.248)
Tl (0.542, 0.601, 0.765)
I (0.815, 0.819, 0.557)

Properties
Fermi-level density of states = 0.8498 states/eV/atom
energy relative to the elements, uncorrected = -871 meV/atom
ρ = 5.228 g cm⁻³

***

Respective uncorrected energy values: -4.889; -5.959; -2.973; -4.181; -3.680; -9.282; -4.587; -4.419; -5.449; -5.729; -4.278; -4.615; -4.946; -7.973; -3.293; -9.537; -4.795; -6.019; -3.277; -6.472; -3.170 eV per atom.